Below is a geometry-optimized Nd3Er4Cd4 structure, with properties calculated at the PBE-GGA level.

Summary:
D(E_F), states/eV per cell: 11.32
DFT formation energy, eV per atom: -0.1179
VASP energy, eV per formula unit: -37.51

a = 9.588 Å, b = 9.588 Å, c = 9.588 Å
α = 147.94°, β = 135.36°, γ = 56.01°
Positions (direct):
Nd (0.000, 0.000, 0.000)
Nd (0.392, 0.892, 0.500)
Nd (0.608, 0.108, 0.500)
Er (0.051, 0.320, 0.731)
Er (0.411, 0.680, 0.731)
Er (0.589, 0.320, 0.269)
Er (0.949, 0.680, 0.269)
Cd (0.186, 0.186, 0.000)
Cd (0.298, 0.500, 0.798)
Cd (0.702, 0.500, 0.202)
Cd (0.814, 0.814, 0.000)

---

Below is a geometry-optimized BaTe2Os structure, with properties calculated at the PBE-GGA level.

Summary:
D(E_F), states/eV per cell: 5.15
VASP energy, eV per formula unit: -17.68
Energy above the most stable polymorph in this dataset, meV per atom: 882

a = 4.520 Å, b = 4.528 Å, c = 6.351 Å
α = 90.00°, β = 90.13°, γ = 90.00°
Positions (direct):
Ba (0.000, 0.000, 0.000)
Te (0.000, 0.000, 0.500)
Te (0.500, 0.500, 0.000)
Os (0.500, 0.500, 0.500)

---

Below is a geometry-optimized Li4BeNi structure, with properties calculated at the PBE-GGA level.

Summary:
D(E_F), states/eV per cell: 2.51
DFT formation energy, eV per atom: 0.3424
VASP energy, eV per formula unit: -15.11

a = 4.716 Å, b = 4.716 Å, c = 4.716 Å
α = 60.00°, β = 60.00°, γ = 60.00°
Positions (direct):
Li (0.125, 0.125, 0.125)
Li (0.125, 0.125, 0.626)
Li (0.125, 0.626, 0.125)
Li (0.626, 0.125, 0.125)
Be (0.500, 0.500, 0.500)
Ni (0.750, 0.750, 0.750)